1.
{
  "formula": "Pr12Y6Tm",
  "functional": "PBE-GGA",
  "state": "relaxed",
  "relative_energy_ev_per_fu": 0.00,
  "e_form_ev_per_atom": 0.1273,
  "crystal_system": "trigonal",
  "total_magnetization_mub_per_fu": 0.00,
  "lattice_angstrom": [[6.151, 3.552, 5.131], [-6.151, 3.552, 5.131], [0.000, -7.103, 5.131]],
  "species": ["Pr", "Pr", "Pr", "Pr", "Pr", "Pr", "Pr", "Pr", "Pr", "Pr", "Pr", "Pr", "Y", "Y", "Y", "Y", "Y", "Y", "Tm"],
  "frac_coords": [[0.019, 0.193, 0.362], [0.193, 0.362, 0.019], [0.218, 0.464, 0.567], [0.362, 0.019, 0.193], [0.433, 0.782, 0.536], [0.464, 0.567, 0.218], [0.536, 0.433, 0.782], [0.567, 0.218, 0.464], [0.638, 0.981, 0.807], [0.782, 0.536, 0.433], [0.807, 0.638, 0.981], [0.981, 0.807, 0.638], [0.099, 0.705, 0.260], [0.260, 0.099, 0.705], [0.295, 0.740, 0.901], [0.705, 0.260, 0.099], [0.740, 0.901, 0.295], [0.901, 0.295, 0.740], [0.000, 0.000, 0.000]]
}

2.
{
  "formula": "Pr2Al2Ni",
  "functional": "PBE-GGA",
  "state": "relaxed",
  "e_form_ev_per_atom": -0.3971,
  "crystal_system": "monoclinic",
  "total_magnetization_mub_per_fu": 0.00,
  "lattice_angstrom": [[5.349, -2.309, 0.000], [5.349, 2.309, 0.000], [-4.648, 0.000, 9.234]],
  "species": ["Pr", "Pr", "Pr", "Pr", "Al", "Al", "Al", "Al", "Ni", "Ni"],
  "frac_coords": [[0.094, 0.094, 0.401], [0.336, 0.336, 0.822], [0.664, 0.664, 0.178], [0.906, 0.906, 0.599], [0.100, 0.100, 0.943], [0.381, 0.381, 0.365], [0.619, 0.619, 0.635], [0.900, 0.900, 0.057], [0.353, 0.353, 0.117], [0.647, 0.647, 0.883]]
}

3.
{
  "formula": "ErCd6Ag5",
  "functional": "PBE-GGA",
  "state": "relaxed",
  "relative_energy_ev_per_fu": 0.14,
  "e_form_ev_per_atom": -0.0850,
  "crystal_system": "triclinic",
  "total_magnetization_mub_per_fu": 0.00,
  "lattice_angstrom": [[4.570, 0.000, 0.000], [2.172, 6.860, 0.000], [0.081, -0.025, 7.853]],
  "species": ["Er", "Cd", "Cd", "Cd", "Cd", "Cd", "Cd", "Ag", "Ag", "Ag", "Ag", "Ag"],
  "frac_coords": [[0.000, 0.000, 0.000], [0.170, 0.661, 0.742], [0.174, 0.660, 0.258], [0.500, 0.000, 0.270], [0.500, 0.000, 0.730], [0.826, 0.340, 0.742], [0.830, 0.339, 0.258], [0.000, 0.000, 0.500], [0.329, 0.339, 0.500], [0.333, 0.333, 0.000], [0.667, 0.667, 0.000], [0.671, 0.661, 0.500]]
}

| no. | raw total energy (eV per atom) | N(E_F) (states/eV/cell) |
| --- | --- | --- |
| 1 | -5.168 | 33.45 |
| 2 | -4.962 | 9.43 |
| 3 | -2.111 | 3.46 |